No. 1
Entry from Alexandria via LeMat-Bulk: a geometry-optimized AlAgMo2 structure (PBE).

CIF file:
```
data_AlAgMo2
_cell_length_a 2.707
_cell_length_b 2.707
_cell_length_c 8.703
_cell_angle_alpha 90.00
_cell_angle_beta 90.00
_cell_angle_gamma 94.73
_symmetry_space_group_name_H-M 'P 1'
_symmetry_Int_Tables_number 1
loop_
_symmetry_equiv_pos_as_xyz
'x,y,z'
loop_
_atom_site_label
_atom_site_type_symbol
_atom_site_fract_x
_atom_site_fract_y
_atom_site_fract_z
Mo1 Mo 0.000 0.000 0.985
Mo2 Mo 0.000 0.000 0.515
Al1 Al 0.500 0.500 0.750
Ag1 Ag 0.500 0.500 0.250
```

## Properties
Volume, Å³/atom: 15.89
Formation energy from the elements, meV/atom: 155

---

No. 2
Entry from Alexandria via LeMat-Bulk: a geometry-optimized LiWSeN2 structure (PBE).

CIF file:
```
data_LiWSeN2
_cell_length_a 3.902
_cell_length_b 3.902
_cell_length_c 5.281
_cell_angle_alpha 90.00
_cell_angle_beta 90.00
_cell_angle_gamma 90.00
_symmetry_space_group_name_H-M 'P 1'
_symmetry_Int_Tables_number 1
loop_
_symmetry_equiv_pos_as_xyz
'x,y,z'
loop_
_atom_site_label
_atom_site_type_symbol
_atom_site_fract_x
_atom_site_fract_y
_atom_site_fract_z
Li1 Li 0.500 0.500 0.500
Se1 Se 0.000 0.000 0.500
W1 W 0.000 0.000 0.000
N1 N 0.000 0.500 0.000
N2 N 0.500 0.000 0.000
```

## Properties
Formation energy from raw total energies, eV/atom: -0.050
Volume, Å³/atom: 16.08
Energy relative to the lowest polymorph listed for this composition, meV/atom: 0

---

No. 3
Entry from Alexandria via LeMat-Bulk: a geometry-optimized CdInHgPb3 structure (PBE).

CIF file:
```
data_CdInHgPb3
_cell_length_a 3.576
_cell_length_b 8.947
_cell_length_c 12.702
_cell_angle_alpha 121.79
_cell_angle_beta 90.00
_cell_angle_gamma 90.00
_symmetry_space_group_name_H-M 'P 1'
_symmetry_Int_Tables_number 1
loop_
_symmetry_equiv_pos_as_xyz
'x,y,z'
loop_
_atom_site_label
_atom_site_type_symbol
_atom_site_fract_x
_atom_site_fract_y
_atom_site_fract_z
Cd1 Cd 0.250 0.635 0.116
Cd2 Cd 0.750 0.365 0.884
In1 In 0.250 0.090 0.641
In2 In 0.750 0.910 0.359
Hg1 Hg 0.250 0.223 0.331
Hg2 Hg 0.750 0.777 0.669
Pb1 Pb 0.750 0.935 0.099
Pb2 Pb 0.250 0.065 0.901
Pb3 Pb 0.250 0.643 0.423
Pb4 Pb 0.750 0.357 0.577
Pb5 Pb 0.750 0.364 0.158
Pb6 Pb 0.250 0.636 0.842
```

## Properties
Volume, Å³/atom: 28.78
Formation energy from the elements, meV/atom: 34

---

Computed total energy, in the same sequence as the records: -27.6, -35.2, -29.8 eV per cell.
Computed total magnetic moment, in the same sequence as the records: 0.000, 0.080, 0.000 μB/atom.